# 1
A plane-wave DFT calculation with PBE was carried out for Gd3AuO after structural relaxation.

The structure in POSCAR format:
```
Gd3AuO
1.0
-3.7149 -0.7284 2.9352
3.0220 -1.0735 3.5583
0.1167 4.6112 1.2921
Gd Au O
3 1 1
Cartesian
1.5110 -0.5368 1.7791
-1.8574 -0.3642 1.4676
0.0584 2.3056 0.6460
-0.2881 1.4046 3.8928
0.0000 0.0000 0.0000
```

Values from the calculation:
Energy ... -11.508 eV/atom
Space-group type ... Pm-3m

# 2
A plane-wave DFT calculation with PBE was carried out for RbSiOs2Rh after structural relaxation.

The structure in POSCAR format:
```
RbSiOs2Rh
1.0
-1.1862 -2.2991 3.6396
5.0197 -1.9566 0.4001
1.1479 3.4696 2.5659
Rb Rh Os Si
1 1 2 1
Cartesian
2.5099 -0.9783 0.2000
2.4907 -0.3930 3.3028
0.5739 1.7348 1.2829
-0.5931 -1.1496 1.8198
0.0000 0.0000 0.0000
```

Values from the calculation:
Energy ... -5.485 eV/atom
Space-group type ... P4/mmm

# 3
A plane-wave DFT calculation with PBE was carried out for MnBiPd3 after structural relaxation.

The structure in POSCAR format:
```
MnBiPd3
1.0
-3.1897 -0.8703 -3.3727
-3.3015 -0.7021 3.3036
-1.1101 4.5887 -0.1342
Mn Pd Bi
1 3 1
Cartesian
0.0000 0.0000 0.0000
-0.5550 2.2944 -0.0671
-1.5949 -0.4351 -1.6863
-1.6507 -0.3510 1.6518
-3.8007 1.5082 -0.1016
```

Values from the calculation:
Relative energy among the computed polymorphs ... 360.2 meV/atom
Energy ... -5.310 eV/atom
Formation enthalpy at 0 K ... 415 meV/atom
Space-group type ... Pm-3m

# 4
A plane-wave DFT calculation with PBE was carried out for Cs2BaBr2 after structural relaxation.

The structure in POSCAR format:
```
Cs2BaBr2
1.0
-5.7561 -6.4392 -3.6282
4.2009 -6.6339 5.1090
-3.7225 0.9257 4.2628
Ba Cs Br
2 4 4
Cartesian
0.0000 0.0000 0.0000
-0.7776 -6.5366 0.7404
-3.1830 -2.7872 1.6829
-5.2738 -7.2501 0.8263
-0.0038 -4.8974 4.9174
-2.0945 -9.3603 4.0608
-1.9750 -9.7890 0.4011
-3.1405 -5.4262 -1.5641
0.4199 -3.2841 1.0798
1.5854 -7.6470 3.0450
```

Values from the calculation:
Energy ... -2.614 eV/atom
Space-group type ... P4/mbm

# 5
A plane-wave DFT calculation with PBE was carried out for BaInCoHg2 after structural relaxation.

The structure in POSCAR format:
```
BaInCoHg2
1.0
5.1917 0.0000 0.0000
0.0000 5.1917 0.0000
0.0000 0.0000 4.9738
Hg In Ba Co
2 1 1 1
Cartesian
2.5959 0.0000 0.0000
0.0000 2.5959 0.0000
0.0000 0.0000 2.4869
2.5959 2.5959 2.4869
0.0000 0.0000 0.0000
```

Values from the calculation:
Energy ... -2.659 eV/atom
Formation enthalpy at 0 K ... -185 meV/atom
Space-group type ... P4/mmm

# 6
A plane-wave DFT calculation with PBE was carried out for KScMo2 after structural relaxation.

The structure in POSCAR format:
```
KScMo2
1.0
3.2415 0.0000 0.0000
0.0000 3.2184 0.3854
0.0000 2.0579 9.8414
Mo K Sc
2 1 1
Cartesian
0.0000 3.1148 1.2368
1.6207 1.3518 2.3192
1.6207 3.9092 7.9581
0.0000 2.7570 4.2115
```

Values from the calculation:
Relative energy among the computed polymorphs ... 0.0 meV/atom
Energy ... -6.792 eV/atom
Formation enthalpy at 0 K ... 481 meV/atom
Space-group type ... Pm

# 7
A plane-wave DFT calculation with PBE was carried out for Tb2Er3PuTe6 after structural relaxation.

The structure in POSCAR format:
```
Tb2Er3PuTe6
1.0
-1.8364 -3.7110 -1.2727
6.8447 -1.6020 -5.2048
3.3864 -2.1901 8.8711
Tb Te Pu Er
2 6 1 3
Cartesian
3.0667 -1.8562 0.9874
5.3280 -5.6469 1.4063
4.4773 -3.3589 3.3336
3.2867 -6.2973 6.2481
7.9185 -4.1479 0.6691
0.4762 -3.3552 1.7246
5.1080 -1.2058 -3.8544
3.9174 -4.1442 -0.9400
-0.9182 -1.8555 -0.6364
1.8633 -4.8261 4.0120
2.5042 -2.6565 -3.2387
6.5315 -2.6770 -1.6183
```

Values from the calculation:
Energy ... -5.922 eV/atom
Space-group type ... C2/m

# 8
A plane-wave DFT calculation with PBE was carried out for SiPdIN2 after structural relaxation.

The structure in POSCAR format:
```
SiPdIN2
1.0
-1.4766 -1.9953 -2.9964
-2.0621 -2.1859 2.4718
-5.5961 4.7903 -0.4322
N Si Pd I
2 1 1 1
Cartesian
-0.7383 -0.9977 -1.4982
-1.0310 -1.0929 1.2359
-4.5674 0.3046 -0.4784
0.0000 0.0000 0.0000
-2.7980 2.3952 -0.2161
```

Values from the calculation:
Relative energy among the computed polymorphs ... 1004.3 meV/atom
Energy ... -4.061 eV/atom
Space-group type ... P4/mmm

# 9
A plane-wave DFT calculation with PBE was carried out for Ba2CaHg after structural relaxation.

The structure in POSCAR format:
```
Ba2CaHg
1.0
4.1108 0.0000 0.0000
0.0000 4.1108 0.0000
0.0000 0.0000 10.4950
Hg Ba Ca
1 2 1
Cartesian
2.0554 2.0554 7.5528
0.0000 0.0000 9.7560
2.0554 2.0554 2.9182
0.0000 0.0000 6.0105
```

Values from the calculation:
Relative energy among the computed polymorphs ... 12.4 meV/atom
Energy ... -1.786 eV/atom
Formation enthalpy at 0 K ... -249 meV/atom
Space-group type ... P4mm

# 10
A plane-wave DFT calculation with PBE was carried out for Sr2Br after structural relaxation.

The structure in POSCAR format:
```
Sr2Br
1.0
2.0807 7.2710 0.0133
-2.0807 7.2710 0.0133
0.0000 7.2615 8.7629
Br Sr
2 4
Cartesian
0.0000 5.6087 5.1146
0.0000 16.1947 3.6748
0.0000 9.1976 0.9534
0.0000 13.1508 2.6252
0.0000 12.6059 7.8361
0.0000 8.6527 6.1642
```

Values from the calculation:
Relative energy among the computed polymorphs ... 38.8 meV/atom
Energy ... -2.601 eV/atom
Space-group type ... C2/m

# 11
A plane-wave DFT calculation with PBE was carried out for Zn2FeCo after structural relaxation.

The structure in POSCAR format:
```
Zn2FeCo
1.0
2.8882 -1.6734 2.4201
-0.9530 -3.1710 2.4567
1.4598 -3.7648 -0.8333
Co Fe Zn
1 1 2
Cartesian
1.6975 -4.3046 2.0218
0.0000 0.0000 0.0000
0.8487 -2.1523 1.0109
2.5462 -6.4568 3.0327
```

Values from the calculation:
Relative energy among the computed polymorphs ... 89.6 meV/atom
Energy ... -4.447 eV/atom
Formation enthalpy at 0 K ... 82 meV/atom
Space-group type ... Fm-3m

# 12
A plane-wave DFT calculation with PBE was carried out for CsBiSbPb after structural relaxation.

The structure in POSCAR format:
```
CsBiSbPb
1.0
4.6460 0.0000 0.0000
0.0000 6.7467 -1.5392
0.0000 -5.0648 6.7848
Pb Bi Sb Cs
1 1 1 1
Cartesian
0.0000 -0.4610 5.5313
2.3230 0.0160 0.3289
2.3230 -0.5928 3.2913
0.0000 2.6438 2.3644
```

Values from the calculation:
Energy ... -3.305 eV/atom
Space-group type ... Pm

# 13
A plane-wave DFT calculation with PBE was carried out for Ta5Mo3 after structural relaxation.

The structure in POSCAR format:
```
Ta5Mo3
1.0
5.6381 0.0000 0.0000
-1.8794 5.3157 0.0000
-1.8794 -2.6578 4.6035
Ta Mo
5 3
Cartesian
-0.9397 -1.3289 2.3018
1.8794 -1.3289 2.3018
2.8191 0.0000 0.0000
-0.9397 2.6578 0.0000
0.9397 1.3289 2.3018
1.8794 2.6578 0.0000
0.0000 0.0000 0.0000
-1.8794 1.3289 2.3018
```

Values from the calculation:
Relative energy among the computed polymorphs ... 52.7 meV/atom
Energy ... -11.590 eV/atom
Formation enthalpy at 0 K ... -120 meV/atom
Space-group type ... Im-3m

# 14
A plane-wave DFT calculation with PBE was carried out for Hf5Si3N after structural relaxation.

The structure in POSCAR format:
```
Hf5Si3N
1.0
7.8226 0.0000 0.0000
-3.9113 6.7746 0.0000
0.0000 0.0000 5.5630
Hf Si N
10 6 2
Cartesian
0.0000 4.5164 0.0000
-0.9185 1.5909 1.3908
3.9113 2.2582 2.7815
0.9185 1.5909 4.1723
3.9113 2.2582 0.0000
-2.9928 5.1837 4.1723
1.8370 0.0000 1.3908
0.0000 4.5164 2.7815
2.9928 5.1837 1.3908
5.9856 0.0000 4.1723
3.1673 0.0000 4.1723
-2.3277 4.0316 1.3908
2.3277 4.0316 4.1723
-1.5836 2.7430 4.1723
4.6553 0.0000 1.3908
1.5836 2.7430 1.3908
0.0000 0.0000 0.0000
0.0000 0.0000 2.7815
```

Values from the calculation:
Energy ... -9.297 eV/atom
Space-group type ... P6_3/mcm

# 15
A plane-wave DFT calculation with PBE was carried out for Ac3Cd2N after structural relaxation.

The structure in POSCAR format:
```
Ac3Cd2N
1.0
5.0915 0.0000 1.6160
-0.0002 7.8228 0.0005
-0.0200 -0.0006 8.8448
N Cd Ac
2 4 6
Cartesian
5.0909 5.8671 1.6163
-0.0196 1.9551 8.8450
1.5065 5.8671 4.0606
3.5648 1.9551 6.4007
1.5114 1.9556 4.0617
3.5599 5.8666 6.3996
2.5257 1.9551 9.6528
0.5593 3.9110 7.0239
2.5456 5.8671 0.8085
4.5120 7.8226 3.4376
4.5121 3.9112 3.4374
0.5593 -0.0004 7.0237
```

Values from the calculation:
Relative energy among the computed polymorphs ... 0.0 meV/atom
Energy ... -4.268 eV/atom
Space-group type ... P2/m

# 16
A plane-wave DFT calculation with PBE was carried out for BaY2Os after structural relaxation.

The structure in POSCAR format:
```
BaY2Os
1.0
5.3872 0.0112 -0.0084
4.0019 3.6065 -0.0084
2.5785 0.9935 7.1904
Y Ba Os
2 1 1
Cartesian
9.1281 3.5172 0.7900
9.1707 3.5335 5.9990
6.6343 2.5563 3.2754
2.4073 0.9276 0.6792
```

Values from the calculation:
Relative energy among the computed polymorphs ... 181.5 meV/atom
Energy ... -6.378 eV/atom
Formation enthalpy at 0 K ... 143 meV/atom
Space-group type ... Cm

# 17
A plane-wave DFT calculation with PBE was carried out for LaBPRh3 after structural relaxation.

The structure in POSCAR format:
```
LaBPRh3
1.0
-4.0047 -2.2126 -3.5294
-1.7724 -3.4840 4.1952
-3.0092 5.9042 -0.2868
La P B Rh
2 2 2 6
Cartesian
-3.7752 -0.2781 2.0928
-5.0112 0.4857 -1.7138
-4.7642 -2.4671 -0.1429
-4.0222 2.6747 0.5220
-7.6071 0.5705 1.1786
-1.1793 -0.3629 -0.7996
-2.4530 -1.9921 -0.6980
-6.2516 -0.8779 0.5485
-0.4507 -0.8858 1.0667
-2.5348 1.0855 -0.1695
-1.3218 -2.5982 3.1286
-3.3241 -3.7045 1.3639
```

Values from the calculation:
Energy ... -7.324 eV/atom
Formation enthalpy at 0 K ... -812 meV/atom
Space-group type ... Cmcm

# 18
A plane-wave DFT calculation with PBE was carried out for BeMoAu4 after structural relaxation.

The structure in POSCAR format:
```
BeMoAu4
1.0
0.0000 3.8288 3.8288
3.8288 0.0000 3.8288
3.8288 3.8288 0.0000
Be Mo Au
1 1 4
Cartesian
5.7432 5.7432 5.7432
0.0000 0.0000 0.0000
2.8726 2.8726 2.8726
4.7850 2.8726 4.7850
4.7850 4.7850 2.8726
2.8726 4.7850 4.7850
```

Values from the calculation:
Energy ... -3.901 eV/atom
Formation enthalpy at 0 K ... 710 meV/atom
Space-group type ... F-43m

# 19
A plane-wave DFT calculation with PBE was carried out for Ba4NaGaHg2 after structural relaxation.

The structure in POSCAR format:
```
Ba4NaGaHg2
1.0
6.0184 0.0000 0.0000
3.0092 5.2121 0.0000
3.0092 1.7374 9.8648
Ba Hg Ga Na
4 2 1 1
Cartesian
9.0276 5.2121 3.9528
6.0184 3.4747 8.3730
6.0184 3.4747 1.4918
3.0092 1.7374 5.9120
9.0276 5.2121 7.5955
3.0092 1.7374 2.2692
6.0184 3.4747 4.9324
0.0000 0.0000 0.0000
```

Values from the calculation:
Energy ... -1.927 eV/atom
Formation enthalpy at 0 K ... -347 meV/atom
Space-group type ... R-3m

# 20
A plane-wave DFT calculation with PBE was carried out for Li2Mg after structural relaxation.

The structure in POSCAR format:
```
Li2Mg
1.0
3.1212 0.0000 0.0000
-1.5606 2.7031 0.0000
0.0000 0.0000 15.0718
Li Mg
4 2
Cartesian
0.0000 1.8021 3.7099
1.5606 0.9010 11.3619
0.0000 1.8021 13.8339
1.5606 0.9010 1.2379
0.0000 1.8021 8.8482
1.5606 0.9010 6.2236
```

Values from the calculation:
Energy ... -1.817 eV/atom
Formation enthalpy at 0 K ... -9 meV/atom
Space-group type ... P-3m1

# 21
A plane-wave DFT calculation with PBE was carried out for BeAsCCl after structural relaxation.

The structure in POSCAR format:
```
BeAsCCl
1.0
-4.4373 1.1149 6.2998
-2.5335 -0.2583 -1.7388
0.1215 -7.0873 0.8757
Be Cl C As
2 2 2 2
Cartesian
-0.6645 -3.1062 1.4295
-1.8705 -6.7790 0.9979
-2.5961 -3.5419 1.5744
-1.3901 0.1309 2.0060
-5.4710 -5.0489 5.9870
-4.2650 -1.3761 6.4186
-3.6678 -4.3863 5.9956
-4.9953 -0.9718 4.6883
```

Values from the calculation:
Relative energy among the computed polymorphs ... 108.7 meV/atom
Energy ... -4.862 eV/atom
Space-group type ... Cm

# 22
A plane-wave DFT calculation with PBE was carried out for Na2Tl9In after structural relaxation.

The structure in POSCAR format:
```
Na2Tl9In
1.0
4.9213 0.0000 0.0000
0.0000 4.9213 0.0000
0.0000 0.0000 14.5220
In Tl Na
1 9 2
Cartesian
0.0000 0.0000 0.0000
2.4607 2.4607 9.6323
2.4607 0.0000 2.4210
0.0000 2.4607 7.2610
0.0000 2.4607 2.4210
2.4607 0.0000 12.1009
2.4607 2.4607 4.8897
2.4607 2.4607 0.0000
0.0000 2.4607 12.1009
2.4607 0.0000 7.2610
0.0000 0.0000 9.6430
0.0000 0.0000 4.8790
```

Values from the calculation:
Energy ... -2.259 eV/atom
Formation enthalpy at 0 K ... -36 meV/atom
Space-group type ... P4/mmm

# 23
A plane-wave DFT calculation with PBE was carried out for NiMo2Au after structural relaxation.

The structure in POSCAR format:
```
NiMo2Au
1.0
-1.5890 2.8993 -3.7299
-4.8737 1.0433 0.0366
3.7017 0.1913 3.3322
Ni Mo Au
1 2 1
Cartesian
-0.5593 2.5309 -1.1222
-0.0008 0.0005 -0.0005
-3.2306 1.9708 -1.8462
-2.2017 1.6030 0.7611
```

Values from the calculation:
Relative energy among the computed polymorphs ... 46.3 meV/atom
Energy ... -7.520 eV/atom
Formation enthalpy at 0 K ... 160 meV/atom
Space-group type ... I4/mmm

# 24
A plane-wave DFT calculation with PBE was carried out for Ho2PbI after structural relaxation.

The structure in POSCAR format:
```
Ho2PbI
1.0
-0.0509 -2.3588 3.7193
3.3460 0.3060 2.8478
-2.4612 5.0205 5.7583
Pb Ho I
1 2 1
Cartesian
-0.2416 3.6153 10.1134
0.3397 0.5316 2.9498
-1.7062 3.8105 5.0012
0.3976 1.5148 6.1821
```

Values from the calculation:
Relative energy among the computed polymorphs ... 37.7 meV/atom
Energy ... -4.146 eV/atom
Space-group type ... R3m

# 25
A plane-wave DFT calculation with PBE was carried out for ScTeOs3 after structural relaxation.

The structure in POSCAR format:
```
ScTeOs3
1.0
4.7787 0.0000 0.0000
0.0000 4.7787 0.0000
0.0000 0.0000 4.7787
Os Sc Te
3 1 1
Cartesian
0.0000 2.3894 0.0000
2.3894 0.0000 0.0000
0.0000 0.0000 2.3894
2.3894 2.3894 2.3894
0.0000 0.0000 0.0000
```

Values from the calculation:
Relative energy among the computed polymorphs ... 0.0 meV/atom
Energy ... -6.911 eV/atom
Space-group type ... Pm-3m

# 26
A plane-wave DFT calculation with PBE was carried out for Dy3Hg3Pt2 after structural relaxation.

The structure in POSCAR format:
```
Dy3Hg3Pt2
1.0
3.6202 0.0000 0.0000
0.0000 6.6602 -3.8453
0.0000 0.0000 7.6905
Pt Hg Dy
2 3 3
Cartesian
0.0000 4.4401 0.0000
0.0000 2.2201 3.8453
0.0000 1.5325 -0.8848
0.0000 0.0000 1.7696
0.0000 5.1277 2.9605
1.8101 2.7940 1.6131
1.8101 3.8663 -2.2322
1.8101 0.0000 4.4644
```

Values from the calculation:
Energy ... -4.190 eV/atom
Formation enthalpy at 0 K ... -841 meV/atom
Space-group type ... P-62m